# 1
# PBE SiPIr4, optimized geometry
# VASP energy	-8.17	eV/atom
# volume	89	Å³/cell
data_SiPIr4
_chemical_formula_sum 'Si1 P1 Ir4'
_space_group_name_H-M_alt 'P 4/m m m'
_space_group_IT_number 123
_space_group_name_Hall '-P 4 2'
_cell_length_a 3.974
_cell_length_b 3.974
_cell_length_c 5.619
_cell_angle_alpha 90.00
_cell_angle_beta 90.00
_cell_angle_gamma 90.00
loop_
_atom_site_label
_atom_site_type_symbol
_atom_site_fract_x
_atom_site_fract_y
_atom_site_fract_z
Si1 Si 0.000 0.000 0.000
P1 P 0.500 0.500 0.500
Ir1 Ir 0.000 0.500 0.253

# 2
# PBE SmP2Ir2, optimized geometry
# VASP energy	-7.65	eV/atom
# volume	166	Å³/cell
data_SmP2Ir2
_chemical_formula_sum 'Sm2 P4 Ir4'
_space_group_name_H-M_alt 'P 4/n m m'
_space_group_IT_number 129
_cell_length_a 4.158
_cell_length_b 4.158
_cell_length_c 9.592
_cell_angle_alpha 90.00
_cell_angle_beta 90.00
_cell_angle_gamma 90.00
loop_
_space_group_symop_operation_xyz
'x,y,z'
'-x,-y,-z'
'-y+1/2,x,z'
'y+1/2,-x,-z'
'-x+1/2,-y+1/2,z'
'x+1/2,y+1/2,-z'
'y,-x+1/2,z'
'-y,x+1/2,-z'
'x+1/2,-y,-z'
'-x+1/2,y,z'
'-y,-x,-z'
'y,x,z'
'-x,y+1/2,-z'
'x,-y+1/2,z'
'y+1/2,x+1/2,-z'
'-y+1/2,-x+1/2,z'
loop_
_atom_site_label
_atom_site_type_symbol
_atom_site_fract_x
_atom_site_fract_y
_atom_site_fract_z
Sm1 Sm 0.250 0.250 0.242
P1 P 0.250 0.250 0.640
P2 P 0.250 0.750 0.000
Ir1 Ir 0.250 0.250 0.886
Ir2 Ir 0.250 0.750 0.500

The lowest VASP energy belongs to which entry?
SiPIr4

What did the first record say?
# PBE SiPIr4, optimized geometry
# VASP energy	-8.17	eV/atom
# volume	89	Å³/cell
data_SiPIr4
_chemical_formula_sum 'Si1 P1 Ir4'
_space_group_name_H-M_alt 'P 4/m m m'
_space_group_IT_number 123
_space_group_name_Hall '-P 4 2'
_cell_length_a 3.974
_cell_length_b 3.974
_cell_length_c 5.619
_cell_angle_alpha 90.00
_cell_angle_beta 90.00
_cell_angle_gamma 90.00
loop_
_atom_site_label
_atom_site_type_symbol
_atom_site_fract_x
_atom_site_fract_y
_atom_site_fract_z
Si1 Si 0.000 0.000 0.000
P1 P 0.500 0.500 0.500
Ir1 Ir 0.000 0.500 0.253

Look up the VASP energy of the second one.
-7.65 eV/atom